[1]
Compound: MgInPt2
Source: the Alexandria database
Functional: PBE-GGA
Structure: optimized geometry

Lattice parameters (Å, degrees): 5.2161 5.2161 5.2161 135.66 135.63 64.53
With the nearest neighbours (Å) after each atom.
Sites, in units of the cell vectors:
Mg1 0.7501 0.2501 0.5000  8 Pt 2.78-2.96, 4 In 2.96
Pt1 0.9999 0.9999 0.0000  4 In 2.78, 4 Mg 2.95-2.96, 4 Pt 2.96
Pt2 0.2500 0.7500 0.5000  4 Mg 2.78, 4 In 2.96, 4 Pt 2.96
In1 0.5001 0.5001 0.0000  8 Pt 2.78-2.96, 4 Mg 2.96

## Properties
As for the total energy: -4.7116 eV per atom.

[2]
Compound: MgInPt2
Source: the Alexandria database
Functional: PBE-GGA
Structure: optimized geometry

Lattice parameters (Å, degrees): 4.1347 4.1347 9.4755 77.40 77.40 90.00
With the nearest neighbours (Å) after each atom.
Sites, in units of the cell vectors:
Mg1 0.5000 0.5000 0.0000  4 Pt 2.66, 4 In 2.92
Mg2 0.2500 0.7500 0.5000  4 Pt 2.66, 4 In 2.92
Pt1 0.6098 0.1250 0.2500  2 Mg 2.66, 2 In 2.71, 2 Pt 2.84
Pt2 0.1402 0.6250 0.2500  2 Mg 2.66, 2 In 2.71, 2 Pt 2.84
Pt3 0.3750 0.3902 0.7500  2 Mg 2.66, 2 In 2.71, 2 Pt 2.84
Pt4 0.8750 0.8598 0.7500  2 Mg 2.66, 2 In 2.71, 2 Pt 2.84
In1 0.0000 0.0000 0.0000  4 Pt 2.71, 4 Mg 2.92
In2 0.7500 0.2500 0.5000  4 Pt 2.71, 4 Mg 2.92

## Properties
As for the total energy: -4.3374 eV per atom.

[3]
Compound: Mg2InPt
Source: the Alexandria database
Functional: PBE-GGA
Structure: optimized geometry

Lattice parameters (Å, degrees): 4.7353 3.1107 5.0616 89.98 90.00 90.00
With the nearest neighbours (Å) after each atom.
Sites, in units of the cell vectors:
In1 0.5000 0.6252 0.7902  8 Mg 2.88-3.06, 2 Pt 2.95, 2 In 3.11
Mg1 0.0000 0.1245 0.9550  4 Pt 2.92-3.02, 4 In 2.95, 4 Mg 2.98-3.11
Mg2 0.5000 0.1254 0.3112  4 In 2.88-3.06, 4 Pt 2.91, 4 Mg 2.98-3.11
Pt1 0.0000 0.6250 0.4436  8 Mg 2.91-3.02, 2 In 2.95, 2 Pt 3.11

## Properties
As for the total energy: -3.4165 eV per atom.